No. 1
Cd3C | meta-GGA SCAN | PBEsol geometry

Structure (CIF):
```
data_Cd3C
_chemical_formula_sum 'Cd9 C3'
_cell_length_a 8.8762
_cell_length_b 8.8762
_cell_length_c 3.1417
_cell_angle_alpha 90.00
_cell_angle_beta 90.00
_cell_angle_gamma 120.00
_space_group_name_H-M_alt 'R -3 m'
_space_group_IT_number 166
_space_group_name_Hall '-R 3 2"'
loop_
_atom_site_label
_atom_site_type_symbol
_atom_site_fract_x
_atom_site_fract_y
_atom_site_fract_z
Cd1 Cd 0.0000 0.5000 0.0000
C1 C 0.0000 0.0000 0.0000
```

## Properties
Its formation energy is 5.35 eV per formula unit. The calculation puts the energy above the most stable polymorph in this dataset at 0.3815 eV/atom.

No. 2
Cd5C | meta-GGA SCAN | PBEsol geometry

Structure (CIF):
```
data_Cd5C
_chemical_formula_sum 'Cd10 C2'
_cell_length_a 4.182
_cell_length_b 4.322
_cell_length_c 14.488
_cell_angle_alpha 90.00
_cell_angle_beta 90.00
_cell_angle_gamma 90.00
_space_group_name_H-M_alt 'A m m 2'
_space_group_IT_number 38
loop_
_space_group_symop_operation_xyz
'x,y,z'
'-x,-y,z'
'-x,y,z'
'x,-y,z'
'x,y+1/2,z+1/2'
'-x,-y+1/2,z+1/2'
'-x,y+1/2,z+1/2'
'x,-y+1/2,z+1/2'
loop_
_atom_site_label
_atom_site_type_symbol
_atom_site_fract_x
_atom_site_fract_y
_atom_site_fract_z
Cd1 Cd 0.000 0.000 0.000
Cd2 Cd 0.000 0.000 0.275
Cd3 Cd 0.000 0.000 0.644
Cd4 Cd 0.500 0.000 0.490
Cd5 Cd 0.500 0.000 0.792
C1 C 0.500 0.000 0.946
```

## Properties
Its formation energy is 3.62 eV per formula unit.

No. 3
CdC5 | meta-GGA SCAN | PBEsol geometry

Structure (CIF):
```
data_CdC5
_chemical_formula_sum 'Cd4 C20'
_cell_length_a 6.219
_cell_length_b 6.219
_cell_length_c 6.219
_cell_angle_alpha 90.00
_cell_angle_beta 90.00
_cell_angle_gamma 90.00
_space_group_name_H-M_alt 'F -4 3 m'
_space_group_IT_number 216
_space_group_name_Hall 'F -4 2 3'
loop_
_atom_site_label
_atom_site_type_symbol
_atom_site_fract_x
_atom_site_fract_y
_atom_site_fract_z
Cd1 Cd 0.000 0.000 0.000
C1 C 0.089 0.089 0.589
C2 C 0.250 0.250 0.250
```

## Properties
Its formation energy is 19.15 eV per formula unit.

No. 4
CdH8C2NCl3 | meta-GGA SCAN | PBEsol geometry

Structure (CIF):
```
data_CdH8C2NCl3
_chemical_formula_sum 'Cd4 H32 C8 N4 Cl12'
_cell_length_a 9.037
_cell_length_b 12.902
_cell_length_c 6.674
_cell_angle_alpha 90.00
_cell_angle_beta 102.06
_cell_angle_gamma 90.00
_space_group_name_H-M_alt 'P 1 21/c 1'
_space_group_IT_number 14
loop_
_space_group_symop_operation_xyz
'x,y,z'
'-x,-y,-z'
'-x,y+1/2,-z+1/2'
'x,-y+1/2,z+1/2'
loop_
_atom_site_label
_atom_site_type_symbol
_atom_site_fract_x
_atom_site_fract_y
_atom_site_fract_z
Cd1 Cd 0.202 0.246 0.492
H1 H 0.123 0.546 0.911
H2 H 0.148 0.561 0.556
H3 H 0.171 0.675 0.841
H4 H 0.271 0.025 0.192
H5 H 0.316 0.592 0.985
H6 H 0.347 0.691 0.595
H7 H 0.385 0.576 0.460
H8 H 0.475 0.595 0.725
C1 C 0.212 0.594 0.866
C2 C 0.371 0.608 0.609
N1 N 0.244 0.554 0.673
Cl1 Cl 0.006 0.160 0.177
Cl2 Cl 0.201 0.097 0.750
Cl3 Cl 0.399 0.163 0.300
```

No. 5
CdP2CCl | meta-GGA SCAN | PBEsol geometry

Structure (CIF):
```
data_CdP2CCl
_chemical_formula_sum 'Cd1 P2 C1 Cl1'
_cell_length_a 3.791
_cell_length_b 3.791
_cell_length_c 6.417
_cell_angle_alpha 90.00
_cell_angle_beta 90.00
_cell_angle_gamma 90.00
_space_group_name_H-M_alt 'P 4/m m m'
_space_group_IT_number 123
_space_group_name_Hall '-P 4 2'
loop_
_atom_site_label
_atom_site_type_symbol
_atom_site_fract_x
_atom_site_fract_y
_atom_site_fract_z
Cd1 Cd 0.000 0.000 0.000
P1 P 0.000 0.500 0.500
C1 C 0.500 0.500 0.500
Cl1 Cl 0.500 0.500 0.000
```

## Properties
The value obtained for the energy relative to the elements, uncorrected is 0.893 eV/atom.

No. 6
CdCSCl2 | meta-GGA SCAN | PBEsol geometry

Structure (CIF):
```
data_CdCSCl2
_chemical_formula_sum 'Cd1 C1 S1 Cl2'
_cell_length_a 4.989
_cell_length_b 4.989
_cell_length_c 5.114
_cell_angle_alpha 90.00
_cell_angle_beta 90.00
_cell_angle_gamma 90.00
_space_group_name_H-M_alt 'P 4/m m m'
_space_group_IT_number 123
_space_group_name_Hall '-P 4 2'
loop_
_atom_site_label
_atom_site_type_symbol
_atom_site_fract_x
_atom_site_fract_y
_atom_site_fract_z
Cd1 Cd 0.000 0.000 0.000
C1 C 0.500 0.500 0.500
S1 S 0.000 0.000 0.500
Cl1 Cl 0.000 0.500 0.000
```

## Properties
The value obtained for the energy relative to the elements, uncorrected is 1.260 eV/atom.

No. 7
YCdCCl2 | meta-GGA SCAN | PBEsol geometry

Structure (CIF):
```
data_YCdCCl2
_chemical_formula_sum 'Y1 Cd1 C1 Cl2'
_cell_length_a 5.189
_cell_length_b 5.189
_cell_length_c 4.163
_cell_angle_alpha 90.00
_cell_angle_beta 90.00
_cell_angle_gamma 90.00
_space_group_name_H-M_alt 'P 4/m m m'
_space_group_IT_number 123
_space_group_name_Hall '-P 4 2'
loop_
_atom_site_label
_atom_site_type_symbol
_atom_site_fract_x
_atom_site_fract_y
_atom_site_fract_z
Y1 Y 0.000 0.000 0.000
Cd1 Cd 0.500 0.500 0.500
C1 C 0.500 0.500 0.000
Cl1 Cl 0.000 0.500 0.500
```

## Properties
The value obtained for the energy relative to the elements, uncorrected is 0.290 eV/atom.

No. 8
Cr2CdPtC | meta-GGA SCAN | PBEsol geometry

Structure (CIF):
```
data_Cr2CdPtC
_chemical_formula_sum 'Cr2 Cd1 Pt1 C1'
_cell_length_a 4.957
_cell_length_b 4.957
_cell_length_c 4.840
_cell_angle_alpha 90.00
_cell_angle_beta 90.00
_cell_angle_gamma 90.00
_space_group_name_H-M_alt 'P 4/m m m'
_space_group_IT_number 123
_space_group_name_Hall '-P 4 2'
loop_
_atom_site_label
_atom_site_type_symbol
_atom_site_fract_x
_atom_site_fract_y
_atom_site_fract_z
Cr1 Cr 0.000 0.500 0.000
Cd1 Cd 0.000 0.000 0.000
Pt1 Pt 0.000 0.000 0.500
C1 C 0.500 0.500 0.500
```

## Properties
Its formation energy is 12.19 eV per formula unit.

No. 9
Cs2CdC | meta-GGA SCAN | PBEsol geometry

Structure (CIF):
```
data_Cs2CdC
_chemical_formula_sum 'Cs8 Cd4 C4'
_cell_length_a 8.264
_cell_length_b 8.264
_cell_length_c 8.264
_cell_angle_alpha 90.00
_cell_angle_beta 90.00
_cell_angle_gamma 90.00
_space_group_name_H-M_alt 'F m -3 m'
_space_group_IT_number 225
_space_group_name_Hall '-F 4 2 3'
loop_
_atom_site_label
_atom_site_type_symbol
_atom_site_fract_x
_atom_site_fract_y
_atom_site_fract_z
Cs1 Cs 0.250 0.250 0.250
Cd1 Cd 0.000 0.000 0.000
C1 C 0.000 0.000 0.500
```

## Properties
Its formation energy is 4.59 eV per formula unit.

No. 10
CsTl2CdC | meta-GGA SCAN | PBEsol geometry

Structure (CIF):
```
data_CsTl2CdC
_chemical_formula_sum 'Cs1 Tl2 Cd1 C1'
_cell_length_a 6.354
_cell_length_b 6.354
_cell_length_c 4.656
_cell_angle_alpha 90.00
_cell_angle_beta 90.00
_cell_angle_gamma 90.00
_space_group_name_H-M_alt 'P 4/m m m'
_space_group_IT_number 123
_space_group_name_Hall '-P 4 2'
loop_
_atom_site_label
_atom_site_type_symbol
_atom_site_fract_x
_atom_site_fract_y
_atom_site_fract_z
Cs1 Cs 0.000 0.000 0.000
Tl1 Tl 0.000 0.500 0.000
Cd1 Cd 0.500 0.500 0.500
C1 C 0.000 0.000 0.500
```

## Properties
Its formation energy is 9.06 eV per formula unit.

No. 11
CdCNF2 | meta-GGA SCAN | PBEsol geometry

Structure (CIF):
```
data_CdCNF2
_chemical_formula_sum 'Cd1 C1 N1 F2'
_cell_length_a 4.606
_cell_length_b 4.606
_cell_length_c 2.508
_cell_angle_alpha 90.00
_cell_angle_beta 90.00
_cell_angle_gamma 90.00
_space_group_name_H-M_alt 'P 4/m m m'
_space_group_IT_number 123
_space_group_name_Hall '-P 4 2'
loop_
_atom_site_label
_atom_site_type_symbol
_atom_site_fract_x
_atom_site_fract_y
_atom_site_fract_z
Cd1 Cd 0.000 0.000 0.000
C1 C 0.500 0.500 0.500
N1 N 0.500 0.500 0.000
F1 F 0.000 0.500 0.500
```

## Properties
The value obtained for the energy relative to the elements, uncorrected is -0.379 eV/atom.

No. 12
CdCN2F | meta-GGA SCAN | PBEsol geometry

Structure (CIF):
```
data_CdCN2F
_chemical_formula_sum 'Cd1 C1 N2 F1'
_cell_length_a 4.241
_cell_length_b 4.241
_cell_length_c 4.216
_cell_angle_alpha 90.00
_cell_angle_beta 90.00
_cell_angle_gamma 90.00
_space_group_name_H-M_alt 'P 4/m m m'
_space_group_IT_number 123
_space_group_name_Hall '-P 4 2'
loop_
_atom_site_label
_atom_site_type_symbol
_atom_site_fract_x
_atom_site_fract_y
_atom_site_fract_z
Cd1 Cd 0.000 0.000 0.000
C1 C 0.500 0.500 0.500
N1 N 0.000 0.500 0.000
F1 F 0.000 0.000 0.500
```

## Properties
The value obtained for the energy relative to the elements, uncorrected is 2.387 eV/atom.

No. 13
CdFeC2 | meta-GGA SCAN | PBEsol geometry

Structure (CIF):
```
data_CdFeC2
_chemical_formula_sum 'Cd4 Fe4 C8'
_cell_length_a 4.788
_cell_length_b 4.788
_cell_length_c 8.801
_cell_angle_alpha 90.00
_cell_angle_beta 90.00
_cell_angle_gamma 90.00
_space_group_name_H-M_alt 'I -4 2 d'
_space_group_IT_number 122
_space_group_name_Hall 'I -4 2bw'
loop_
_atom_site_label
_atom_site_type_symbol
_atom_site_fract_x
_atom_site_fract_y
_atom_site_fract_z
Cd1 Cd 0.000 0.000 0.000
Fe1 Fe 0.000 0.000 0.500
C1 C 0.150 0.250 0.625
```

## Properties
Its formation energy is 4.37 eV per formula unit.

No. 14
CdGa2C | meta-GGA SCAN | PBEsol geometry

Structure (CIF):
```
data_CdGa2C
_chemical_formula_sum 'Cd4 Ga8 C4'
_cell_length_a 6.359
_cell_length_b 6.359
_cell_length_c 6.359
_cell_angle_alpha 90.00
_cell_angle_beta 90.00
_cell_angle_gamma 90.00
_space_group_name_H-M_alt 'F m -3 m'
_space_group_IT_number 225
_space_group_name_Hall '-F 4 2 3'
loop_
_atom_site_label
_atom_site_type_symbol
_atom_site_fract_x
_atom_site_fract_y
_atom_site_fract_z
Cd1 Cd 0.000 0.000 0.000
Ga1 Ga 0.250 0.250 0.250
C1 C 0.000 0.000 0.500
```

## Properties
Its formation energy is 5.62 eV per formula unit.

No. 15
CdGaC3 | meta-GGA SCAN | PBEsol geometry

Structure (CIF):
```
data_CdGaC3
_chemical_formula_sum 'Cd1 Ga1 C3'
_cell_length_a 4.252
_cell_length_b 4.252
_cell_length_c 4.252
_cell_angle_alpha 90.00
_cell_angle_beta 90.00
_cell_angle_gamma 90.00
_space_group_name_H-M_alt 'P m -3 m'
_space_group_IT_number 221
_space_group_name_Hall '-P 4 2 3'
loop_
_atom_site_label
_atom_site_type_symbol
_atom_site_fract_x
_atom_site_fract_y
_atom_site_fract_z
Cd1 Cd 0.000 0.000 0.000
Ga1 Ga 0.500 0.500 0.500
C1 C 0.000 0.000 0.500
```

## Properties
Its formation energy is 17.00 eV per formula unit.

No. 16
Cd2GaGeC | meta-GGA SCAN | PBEsol geometry

Structure (CIF):
```
data_Cd2GaGeC
_chemical_formula_sum 'Cd2 Ga1 Ge1 C1'
_cell_length_a 5.069
_cell_length_b 5.069
_cell_length_c 4.838
_cell_angle_alpha 90.00
_cell_angle_beta 90.00
_cell_angle_gamma 90.00
_space_group_name_H-M_alt 'P 4/m m m'
_space_group_IT_number 123
_space_group_name_Hall '-P 4 2'
loop_
_atom_site_label
_atom_site_type_symbol
_atom_site_fract_x
_atom_site_fract_y
_atom_site_fract_z
Cd1 Cd 0.000 0.500 0.000
Ga1 Ga 0.000 0.000 0.500
Ge1 Ge 0.000 0.000 0.000
C1 C 0.500 0.500 0.500
```

## Properties
Its formation energy is 7.85 eV per formula unit.

No. 17
CdGaPdC2 | meta-GGA SCAN | PBEsol geometry

Structure (CIF):
```
data_CdGaPdC2
_chemical_formula_sum 'Cd1 Ga1 Pd1 C2'
_cell_length_a 4.091
_cell_length_b 4.091
_cell_length_c 5.178
_cell_angle_alpha 90.00
_cell_angle_beta 90.00
_cell_angle_gamma 90.00
_space_group_name_H-M_alt 'P 4/m m m'
_space_group_IT_number 123
_space_group_name_Hall '-P 4 2'
loop_
_atom_site_label
_atom_site_type_symbol
_atom_site_fract_x
_atom_site_fract_y
_atom_site_fract_z
Cd1 Cd 0.000 0.000 0.000
Ga1 Ga 0.000 0.000 0.500
Pd1 Pd 0.500 0.500 0.500
C1 C 0.000 0.500 0.000
```

## Properties
Its formation energy is 12.64 eV per formula unit.

No. 18
CdGaC2S | meta-GGA SCAN | PBEsol geometry

Structure (CIF):
```
data_CdGaC2S
_chemical_formula_sum 'Cd1 Ga1 C2 S1'
_cell_length_a 3.760
_cell_length_b 3.760
_cell_length_c 6.828
_cell_angle_alpha 90.00
_cell_angle_beta 90.00
_cell_angle_gamma 90.00
_space_group_name_H-M_alt 'P 4/m m m'
_space_group_IT_number 123
_space_group_name_Hall '-P 4 2'
loop_
_atom_site_label
_atom_site_type_symbol
_atom_site_fract_x
_atom_site_fract_y
_atom_site_fract_z
Cd1 Cd 0.000 0.000 0.000
Ga1 Ga 0.000 0.000 0.500
C1 C 0.000 0.500 0.500
S1 S 0.500 0.500 0.000
```

## Properties
The value obtained for the energy relative to the elements, uncorrected is 1.826 eV/atom.

No. 19
CdGe2RuC | meta-GGA SCAN | PBEsol geometry

Structure (CIF):
```
data_CdGe2RuC
_chemical_formula_sum 'Cd1 Ge2 Ru1 C1'
_cell_length_a 4.904
_cell_length_b 4.904
_cell_length_c 3.811
_cell_angle_alpha 90.00
_cell_angle_beta 90.00
_cell_angle_gamma 90.00
_space_group_name_H-M_alt 'P 4/m m m'
_space_group_IT_number 123
_space_group_name_Hall '-P 4 2'
loop_
_atom_site_label
_atom_site_type_symbol
_atom_site_fract_x
_atom_site_fract_y
_atom_site_fract_z
Cd1 Cd 0.000 0.000 0.000
Ge1 Ge 0.000 0.500 0.500
Ru1 Ru 0.500 0.500 0.500
C1 C 0.500 0.500 0.000
```

## Properties
Its formation energy is 3.74 eV per formula unit.

No. 20
Cd3H28C12N30O2 | meta-GGA SCAN | PBEsol geometry

Structure (CIF):
```
data_Cd3H28C12N30O2
_chemical_formula_sum 'Cd6 H56 C24 N60 O4'
_cell_length_a 12.454
_cell_length_b 15.226
_cell_length_c 8.240
_cell_angle_alpha 90.00
_cell_angle_beta 118.06
_cell_angle_gamma 90.00
_space_group_name_H-M_alt 'C 1 2 1'
_space_group_IT_number 5
loop_
_space_group_symop_operation_xyz
'x,y,z'
'-x,y,-z'
'x+1/2,y+1/2,z'
'-x+1/2,y+1/2,-z'
loop_
_atom_site_label
_atom_site_type_symbol
_atom_site_fract_x
_atom_site_fract_y
_atom_site_fract_z
Cd1 Cd 0.000 0.000 0.000
Cd2 Cd 0.003 0.589 0.261
H1 H 0.002 0.770 0.365
H2 H 0.006 0.400 0.867
H3 H 0.037 0.020 0.716
H4 H 0.056 0.300 0.223
H5 H 0.056 0.871 0.724
H6 H 0.109 0.018 0.375
H7 H 0.133 0.235 0.557
H8 H 0.155 0.270 0.955
H9 H 0.173 0.894 0.482
H10 H 0.202 0.453 0.489
H11 H 0.210 0.717 0.009
H12 H 0.233 0.938 0.164
H13 H 0.240 0.547 0.812
H14 H 0.249 0.665 0.303
C1 C 0.002 0.796 0.131
C2 C 0.005 0.374 0.632
C3 C 0.247 0.996 0.956
C4 C 0.248 0.706 0.796
C5 C 0.249 0.476 0.294
C6 C 0.250 0.197 0.459
N1 N 0.000 0.319 0.500
N2 N 0.000 0.712 0.084
N3 N 0.000 0.852 0.000
N4 N 0.001 0.459 0.585
N5 N 0.010 0.824 0.295
N6 N 0.013 0.347 0.797
N7 N 0.145 0.517 0.183
N8 N 0.149 0.530 0.020
N9 N 0.155 0.652 0.690
N10 N 0.156 0.648 0.521
N11 N 0.179 0.962 0.785
N12 N 0.190 0.235 0.290
N13 N 0.211 0.997 0.095
N14 N 0.220 0.211 0.596
N15 N 0.221 0.224 0.025
N16 N 0.221 0.953 0.527
O1 O 0.033 0.048 0.276
```

Short version: raw total energy = -23.999, -26.425, -10.295, -7.984, -12.965, -11.960, -16.573, -27.058, -27.886, -42.795, -11.757, -10.140, -16.094, -16.896, -12.011, -19.702, -17.419, -13.491, -21.954, -8.209 eV per atom, in the order given.